No. 1
GGA-PBE CaMnGa, optimized geometry; space group = P4/nmm (129); DFT formation energy = -0.18 eV per atom
1.0
-1.253 -4.086 0.640
2.518 -1.285 -3.269
5.251 -0.920 4.406
Ga Ca Mn
2 2 2
Direct
0.500 0.000 0.695 Ga
0.000 0.500 0.305 Ga
0.500 0.000 0.170 Ca
0.000 0.500 0.830 Ca
0.500 0.500 0.500 Mn
0.000 0.000 0.500 Mn



No. 2
GGA-PBE Sm2TmZr, optimized geometry; space group = R3m (160); E above lowest polymorph = 0.4 meV per atom; DFT formation energy = 0.11 eV per atom
1.0
3.480 0.000 0.000
1.740 3.014 0.000
1.740 1.005 11.281
Sm Tm Zr
2 1 1
Direct
0.079 0.079 0.762 Sm
0.254 0.254 0.238 Sm
0.500 0.500 0.501 Tm
0.667 0.667 0.999 Zr



No. 3
GGA-PBE Pm12Tm7Th, optimized geometry; space group = R-3 (148); E above lowest polymorph = 0.0 meV per atom; DFT formation energy = 0.23 eV per atom
1.0
8.517 1.084 1.626
-1.327 8.483 1.626
-1.327 -1.766 8.455
Pm Tm Th
12 7 1
Direct
0.870 0.276 0.735 Pm
0.724 0.265 0.130 Pm
0.622 0.146 0.500 Pm
0.854 0.500 0.378 Pm
0.265 0.130 0.724 Pm
0.500 0.378 0.854 Pm
0.500 0.622 0.146 Pm
0.735 0.870 0.276 Pm
0.146 0.500 0.622 Pm
0.378 0.854 0.500 Pm
0.276 0.735 0.870 Pm
0.130 0.724 0.265 Pm
0.850 0.622 0.944 Tm
0.378 0.056 0.150 Tm
0.056 0.150 0.378 Tm
0.500 0.500 0.500 Tm
0.944 0.850 0.622 Tm
0.622 0.944 0.850 Tm
0.150 0.378 0.056 Tm
0.000 0.000 0.000 Th



No. 4
GGA-PBE Pm2Np3S8, optimized geometry; space group = Cmmm (65); formation energy from raw total energies = -1.537 eV/atom; E above lowest polymorph = 0.0 meV per atom
1.0
4.732 0.000 0.000
0.000 8.210 -4.717
0.000 -0.726 8.238
Pm Np S
2 3 8
Direct
0.500 0.270 0.541 Pm
0.500 0.730 0.459 Pm
0.500 0.000 0.000 Np
0.000 0.268 0.000 Np
0.000 0.732 0.000 Np
0.000 0.622 0.244 S
0.000 0.378 0.756 S
0.000 0.114 0.228 S
0.000 0.886 0.772 S
0.500 0.643 0.760 S
0.500 0.117 0.760 S
0.500 0.883 0.240 S
0.500 0.357 0.240 S



No. 5
GGA-PBE LaYSb2, optimized geometry; space group = P4/mmm (123); formation energy from raw total energies = -0.906 eV/atom; E above lowest polymorph = 312.8 meV per atom
1.0
-3.422 -1.562 -0.844
1.297 -3.451 1.128
-2.475 1.465 7.331
La Sb Y
1 2 1
Direct
0.500 0.500 0.750 La
0.000 0.000 0.014 Sb
0.000 0.000 0.486 Sb
0.500 0.500 0.250 Y



No. 6
GGA-PBE TaSn3Te, optimized geometry; space group = Pm-3m (221); formation energy from raw total energies = 0.479 eV/atom; E above lowest polymorph = 0.0 meV per atom
1.0
5.444 0.000 0.000
0.000 5.444 0.000
0.000 0.000 5.444
Te Sn Ta
1 3 1
Direct
0.500 0.500 0.500 Te
0.000 0.500 0.000 Sn
0.000 0.000 0.500 Sn
0.500 0.000 0.000 Sn
0.000 0.000 0.000 Ta



No. 7
GGA-PBE KNaPdF6, optimized geometry; space group = P312 (149); formation energy from raw total energies = -2.075 eV/atom
1.0
-4.138 -1.439 3.736
-2.424 -5.216 -0.254
3.790 -1.929 3.455
K Na Pd F
1 1 1 6
Direct
0.000 0.000 0.000 K
0.667 0.667 0.500 Na
0.333 0.333 0.500 Pd
0.049 0.342 0.299 F
0.342 0.049 0.701 F
0.609 0.342 0.701 F
0.048 0.610 0.701 F
0.342 0.609 0.299 F
0.610 0.048 0.299 F



No. 8
GGA-PBE Ce2Pr3PaAs6, optimized geometry; space group = C2/m (12); DFT formation energy = -1.41 eV per atom
1.0
7.338 0.000 0.001
-3.668 6.356 0.001
-1.224 -2.119 6.925
Ce Pr Pa As
2 3 1 6
Direct
0.334 0.666 0.000 Ce
0.666 0.334 0.000 Ce
0.169 0.831 0.500 Pr
0.831 0.169 0.500 Pr
0.500 0.500 0.500 Pr
0.000 0.000 0.000 Pa
0.921 0.595 0.762 As
0.754 0.754 0.239 As
0.079 0.405 0.238 As
0.595 0.921 0.762 As
0.246 0.246 0.761 As
0.405 0.079 0.238 As



No. 9
GGA-PBE HoLuScTc, optimized geometry; space group = F-43m (216); DFT formation energy = 0.08 eV per atom
1.0
5.012 0.000 0.000
2.506 4.340 0.000
2.506 1.447 4.092
Sc Lu Ho Tc
1 1 1 1
Direct
0.500 0.500 0.500 Sc
0.250 0.250 0.250 Lu
0.750 0.750 0.750 Ho
0.000 0.000 0.000 Tc



No. 10
GGA-PBE RbSbTe2Rh, optimized geometry; space group = P4/mmm (123); formation energy from raw total energies = 1.765 eV/atom; E above lowest polymorph = 1916.6 meV per atom
1.0
6.141 0.000 0.000
0.000 6.141 0.000
0.000 0.000 5.934
Sb Te Rh Rb
1 2 1 1
Direct
0.000 0.000 0.500 Sb
0.000 0.500 0.000 Te
0.500 0.000 0.000 Te
0.500 0.500 0.500 Rh
0.000 0.000 0.000 Rb



No. 11
GGA-PBE CuTc2Ir, optimized geometry; space group = Cmmm (65); E above lowest polymorph = 63.9 meV per atom; DFT formation energy = 0.11 eV per atom
1.0
-2.925 -2.323 4.561
-0.061 -2.244 -4.195
1.059 -2.189 1.157
Cu Ir Tc
1 1 2
Direct
0.000 0.500 0.500 Cu
0.500 0.500 0.000 Ir
0.000 0.000 0.000 Tc
0.500 0.000 0.500 Tc



No. 12
GGA-PBE Ca2AlGa3Cu4, optimized geometry; space group = P-4m2 (115); DFT formation energy = -0.31 eV per atom
1.0
-2.334 -0.650 -3.254
-1.315 -3.471 1.637
-8.160 5.347 4.785
Ca Al Ga Cu
2 1 3 4
Direct
0.500 0.000 0.249 Ca
0.000 0.500 0.751 Ca
0.500 0.500 0.500 Al
0.000 0.000 0.500 Ga
0.500 0.000 0.866 Ga
0.000 0.500 0.134 Ga
0.500 0.500 0.000 Cu
0.000 0.000 0.000 Cu
0.500 0.000 0.639 Cu
0.000 0.500 0.361 Cu



no.,uncorrected energy (eV per atom)
1,-4.91
2,-5.51
3,-4.56
4,-7.79
5,-5.82
6,-4.92
7,-4.17
8,-6.71
9,-6.37
10,-1.98
11,-8.32
12,-3.64